A geometry-optimized Li3Fe2Ni3O10 structure, computed with PBE with a Hubbard U.

Cell lengths 5.0386, 5.0846, 7.7721 Å; angles 108.31, 101.04, 101.49 degrees
Closest atoms and distances in Å follow each position.
Fractional positions:
Li (0.0000, 0.0000, 0.0000)  4 O 1.95-2.10
Li (0.1844, 0.4002, 0.3678)  6 O 2.03-2.16
Li (0.6571, 0.2875, 0.2212)  4 O 1.93-2.07
Fe (0.2832, 0.6160, 0.0835)  5 O 1.81-2.02
Fe (0.5100, 0.0062, 0.4604)  5 O 1.85-2.00
Ni (0.0894, 0.1937, 0.6648)  5 O 1.89-2.06
Ni (0.3891, 0.7934, 0.7605)  6 O 1.90-2.12
Ni (0.6922, 0.4061, 0.8661)  6 O 1.92-2.12
O (0.0574, 0.6094, 0.8521)  1 Fe 1.92, 2 Ni 1.96-2.10, 1 Li 2.07
O (0.2000, 0.8272, 0.5354)  2 Ni 1.90-2.06, 1 Fe 1.93, 1 Li 2.13
O (0.3020, 0.0171, 0.2335)  2 Fe 1.89-1.98, 2 Li 2.07-2.10
O (0.3443, 0.1856, 0.8877)  3 Ni 1.95-2.01
O (0.4115, 0.4032, 0.6247)  3 Ni 1.89-2.12, 1 Li 2.10
O (0.5039, 0.6127, 0.2954)  2 Fe 1.81-2.00, 1 Li 1.93
O (0.6010, 0.7579, 0.9830)  2 Ni 1.92-1.93, 1 Fe 2.02, 1 Li 2.09
O (0.7361, 0.0420, 0.7113)  3 Ni 1.94-2.12, 1 Fe 1.99
O (0.8496, 0.2092, 0.4495)  1 Fe 1.85, 1 Ni 1.90, 1 Li 2.05
O (0.9584, 0.3880, 0.1001)  1 Fe 1.86, 2 Li 1.95-2.00, 1 Ni 2.08

The value obtained for the total magnetization is 11.0 μB per cell. The calculation puts the uncorrected energy at -94.99 eV per cell. Its space group is P1, No. 1. The density of states at the Fermi level comes out at 3.664 states/eV per cell.